[1]
The following is a PBE-GGA calculation of crystalline PrHo2Mg at its relaxed geometry, from Alexandria via LeMat-Bulk.

Lattice parameters (Å, degrees): 3.5727 3.5727 33.6839 90.00 90.00 120.00
Space group R3m (No. 160, hexagonal axes)
Inequivalent atoms, fractional coordinates:
Pr1 0.0000 0.0000 0.0000
Ho1 0.0000 0.0000 0.5778
Ho2 0.0000 0.0000 0.7554
Mg1 0.0000 0.0000 0.1664

Values from the calculation:
Energy of formation: 46.3 meV/atom
Magnetic moment: 0.00 μB per formula unit

=====

[2]
The following is a PBE-GGA calculation of crystalline Pr6Ho2Mg at its relaxed geometry, from Alexandria via LeMat-Bulk.

Lattice parameters (Å, degrees): 10.8303 10.8303 5.1871 90.00 90.00 90.00
Space group P4_2/mnm (No. 136)
Inequivalent atoms, fractional coordinates:
Pr1 0.0032 0.3309 0.0000
Pr2 0.1590 0.8410 0.5000
Ho1 0.1720 0.1720 0.5000
Mg1 0.0000 0.0000 0.0000

Values from the calculation:
Energy of formation: 23.5 meV/atom
Magnetic moment: 0.00 μB per formula unit

=====

[3]
The following is a PBE-GGA calculation of crystalline Pr2Ho3Mg at its relaxed geometry, from Alexandria via LeMat-Bulk.

Lattice parameters (Å, degrees): 3.3323 10.0801 11.8170 90.00 90.00 90.00
Space group Imm2 (No. 44)
Inequivalent atoms, fractional coordinates:
Pr1 0.0000 0.1711 0.0000
Ho1 0.0000 0.0000 0.2707
Ho2 0.0000 0.3357 0.2488
Mg1 0.0000 0.5000 0.0123

Values from the calculation:
Energy of formation: 376.7 meV/atom
Magnetic moment: 0.00 μB per formula unit

=====

[4]
The following is a PBE-GGA calculation of crystalline Pr12Ho7Mg at its relaxed geometry, from Alexandria via LeMat-Bulk.

Lattice parameters (Å, degrees): 11.6766 11.6766 11.6766 90.00 90.00 90.00
Space group Im-3 (No. 204)
Inequivalent atoms, fractional coordinates:
Pr1 0.0000 0.2489 0.2482
Ho1 0.0000 0.0000 0.5000
Ho2 0.2500 0.2500 0.2500
Mg1 0.0000 0.0000 0.0000

Values from the calculation:
Energy of formation: 677.4 meV/atom
Magnetic moment: 0.00 μB per formula unit